Arrangement A

The following is a DFT calculation (PBE) of Tl3Ag4Te4 after structural relaxation.

Cell lengths 15.248, 15.248, 15.248 Å; angles 162.11, 162.04, 25.46 degrees
Positions (direct):
Tl  0.000  0.000  0.000
Tl  0.354  0.854  0.500
Tl  0.646  0.146  0.500
Ag  0.102  0.602  0.500
Ag  0.252  0.252  0.000
Ag  0.748  0.748  0.000
Ag  0.898  0.398  0.500
Te  0.195  0.695  0.500
Te  0.443  0.443  0.000
Te  0.557  0.557  0.000
Te  0.805  0.305  0.500

Properties
- Space-group type: No. 71
- Calculated density: 7.69 g cm⁻³
- Density of states at the Fermi level: 4.58 states/eV/f.u.


Arrangement B

The following is a DFT calculation (PBE) of Tl3Ag4Te4 after structural relaxation.

Cell lengths 9.239, 9.239, 9.239 Å; angles 148.27, 131.42, 59.19 degrees
Positions (direct):
Tl  0.000  0.000  0.000
Tl  0.381  0.881  0.500
Tl  0.619  0.119  0.500
Ag  0.021  0.326  0.695
Ag  0.370  0.674  0.695
Ag  0.630  0.326  0.305
Ag  0.979  0.674  0.305
Te  0.216  0.216  0.000
Te  0.288  0.500  0.788
Te  0.712  0.500  0.212
Te  0.784  0.784  0.000

Properties
- Space-group type: No. 71
- Calculated density: 8.37 g cm⁻³
- Density of states at the Fermi level: 2.79 states/eV/f.u.


The winner here is arrangement B, beating the second structure by 0.005 eV/atom.


Arrangement A

The following is a DFT calculation (PBE) of Tm2AgTe after structural relaxation.

Cell lengths 7.849, 7.849, 7.849 Å; angles 30.41, 30.41, 30.41 degrees
Positions (direct):
Tm  0.000  0.000  0.000
Tm  0.181  0.181  0.181
Ag  0.591  0.591  0.591
Te  0.422  0.422  0.422

Properties
- Space-group type: No. 160
- Calculated density: 8.67 g cm⁻³
- Density of states at the Fermi level: 3.28 states/eV/f.u.


Arrangement B

The following is a DFT calculation (PBE) of Tm2AgTe after structural relaxation.

Cell lengths 3.799, 3.799, 6.873 Å; angles 90.00, 90.00, 90.00 degrees
Positions (direct):
Tm  0.000  0.000  0.243
Tm  0.000  0.000  0.757
Ag  0.500  0.500  0.000
Te  0.500  0.500  0.500

Properties
- Space-group type: No. 123
- Calculated density: 9.60 g cm⁻³
- Density of states at the Fermi level: 3.64 states/eV/f.u.


Arrangement C

The following is a DFT calculation (PBE) of Tm2AgTe after structural relaxation.

Cell lengths 7.893, 7.893, 7.893 Å; angles 30.01, 30.01, 30.01 degrees
Positions (direct):
Tm  0.245  0.245  0.245
Tm  0.755  0.755  0.755
Ag  0.500  0.500  0.500
Te  0.000  0.000  0.000

Properties
- Space-group type: No. 166
- Calculated density: 8.74 g cm⁻³
- Density of states at the Fermi level: 3.05 states/eV/f.u.


The winner here is arrangement C, beating the second structure by 0.028 eV/atom.


Arrangement A

The following is a DFT calculation (PBE) of Tm4AgTe after structural relaxation.

Cell lengths 8.345, 3.880, 19.651 Å; angles 90.00, 90.00, 90.00 degrees
Positions (direct):
Tm  0.020  0.250  0.072
Tm  0.021  0.250  0.783
Tm  0.121  0.250  0.561
Tm  0.157  0.250  0.343
Tm  0.343  0.750  0.843
Tm  0.379  0.750  0.061
Tm  0.479  0.750  0.283
Tm  0.480  0.750  0.572
Tm  0.520  0.250  0.428
Tm  0.521  0.250  0.717
Tm  0.621  0.250  0.939
Tm  0.657  0.250  0.157
Tm  0.843  0.750  0.657
Tm  0.879  0.750  0.439
Tm  0.979  0.750  0.217
Tm  0.980  0.750  0.928
Ag  0.250  0.250  0.950
Ag  0.250  0.750  0.450
Ag  0.750  0.250  0.550
Ag  0.750  0.750  0.050
Te  0.220  0.750  0.687
Te  0.280  0.250  0.187
Te  0.720  0.750  0.813
Te  0.780  0.250  0.313

Properties
- Space-group type: No. 62
- Calculated density: 9.51 g cm⁻³
- Density of states at the Fermi level: 6.85 states/eV/f.u.


Arrangement B

The following is a DFT calculation (PBE) of Tm4AgTe after structural relaxation.

Cell lengths 5.837, 8.242, 7.803 Å; angles 90.00, 107.20, 90.00 degrees
Positions (direct):
Tm  0.010  0.051  0.237
Tm  0.010  0.449  0.237
Tm  0.407  0.250  0.017
Tm  0.427  0.750  0.514
Tm  0.573  0.250  0.486
Tm  0.593  0.750  0.983
Tm  0.990  0.551  0.763
Tm  0.990  0.949  0.763
Ag  0.165  0.750  0.094
Ag  0.835  0.250  0.906
Te  0.119  0.250  0.585
Te  0.881  0.750  0.415

Properties
- Space-group type: No. 11
- Calculated density: 8.44 g cm⁻³
- Density of states at the Fermi level: 7.08 states/eV/f.u.


The winner here is arrangement A, beating the second structure by 0.242 eV/atom.